[1]
# AcTm6Te8, optimized geometry, DFT GGA-PBE
data_AcTm6Te8
_chemical_formula_sum 'Ac3 Tm18 Te24'
_cell_length_a 11.1176
_cell_length_b 11.1176
_cell_length_c 14.2430
_cell_angle_alpha 90.00
_cell_angle_beta 90.00
_cell_angle_gamma 120.00
_symmetry_space_group_name_H-M 'R -3'
_symmetry_Int_Tables_number 148
_symmetry_space_group_name_Hall '-R 3'
loop_
_atom_site_label
_atom_site_type_symbol
_atom_site_fract_x
_atom_site_fract_y
_atom_site_fract_z
Ac1 Ac 0.0000 0.0000 0.0000
Tm1 Tm 0.0265 0.2008 0.3971
Te1 Te 0.0000 0.0000 0.2464
Te2 Te 0.0104 0.6253 0.7494
# Total magnetization: 0.059 μB/atom
# Density: 7.389 g/cm³
# Total energy: -4.885 eV/atom
# Uncorrected formation energy: -1.147 eV per atom



[2]
# AcTmTe2, optimized geometry, DFT GGA-PBE
data_AcTmTe2
_chemical_formula_sum 'Ac3 Tm3 Te6'
_cell_length_a 4.3434
_cell_length_b 4.3434
_cell_length_c 24.1292
_cell_angle_alpha 90.00
_cell_angle_beta 90.00
_cell_angle_gamma 120.00
_symmetry_space_group_name_H-M 'R 3 m'
_symmetry_Int_Tables_number 160
_symmetry_space_group_name_Hall 'R 3 -2"'
loop_
_atom_site_label
_atom_site_type_symbol
_atom_site_fract_x
_atom_site_fract_y
_atom_site_fract_z
Ac1 Ac 0.0000 0.0000 0.0000
Tm1 Tm 0.0000 0.0000 0.8276
Te1 Te 0.0000 0.0000 0.2368
Te2 Te 0.0000 0.0000 0.4249
# Total magnetization: 0.000 μB/atom
# Density: 8.228 g/cm³
# Total energy: -5.057 eV/atom
# Uncorrected formation energy: -1.341 eV per atom



[3]
# Ac3TmTe4, optimized geometry, DFT GGA-PBE
data_Ac3TmTe4
_chemical_formula_sum 'Ac6 Tm2 Te8'
_cell_length_a 9.4941
_cell_length_b 13.0976
_cell_length_c 4.5182
_cell_angle_alpha 90.00
_cell_angle_beta 90.00
_cell_angle_gamma 90.00
_symmetry_space_group_name_H-M 'C m m m'
_symmetry_Int_Tables_number 65
_symmetry_space_group_name_Hall '-C 2 2'
loop_
_atom_site_label
_atom_site_type_symbol
_atom_site_fract_x
_atom_site_fract_y
_atom_site_fract_z
Ac1 Ac 0.0000 0.0000 0.0000
Ac2 Ac 0.2500 0.2500 0.5000
Tm1 Tm 0.0000 0.5000 0.0000
Te1 Te 0.0000 0.2621 0.0000
Te2 Te 0.2270 0.5000 0.5000
# Total magnetization: 0.000 μB/atom
# Density: 8.041 g/cm³
# Total energy: -5.054 eV/atom
# Uncorrected formation energy: -1.384 eV per atom



[4]
# Ac3TmTe4, optimized geometry, DFT GGA-PBE
data_Ac3TmTe4
_chemical_formula_sum 'Ac6 Tm2 Te8'
_cell_length_a 8.2737
_cell_length_b 9.1323
_cell_length_c 7.8552
_cell_angle_alpha 90.00
_cell_angle_beta 108.71
_cell_angle_gamma 90.00
_symmetry_space_group_name_H-M 'P 1 2/c 1'
_symmetry_Int_Tables_number 13
loop_
_symmetry_equiv_pos_as_xyz
'x,y,z'
'-x,-y,-z'
'-x,y,-z+1/2'
'x,-y,z+1/2'
loop_
_atom_site_label
_atom_site_type_symbol
_atom_site_fract_x
_atom_site_fract_y
_atom_site_fract_z
Ac1 Ac 0.0000 0.1211 0.2500
Ac2 Ac 0.0000 0.3726 0.7500
Ac3 Ac 0.5000 0.1266 0.7500
Tm1 Tm 0.5000 0.3754 0.2500
Te1 Te 0.2638 0.1375 0.0146
Te2 Te 0.2718 0.3870 0.4979
# Total magnetization: 0.000 μB/atom
# Density: 8.036 g/cm³
# Total energy: -5.055 eV/atom
# Uncorrected formation energy: -1.385 eV per atom



[5]
# Ac2TmTe5, optimized geometry, DFT GGA-PBE
data_Ac2TmTe5
_chemical_formula_sum 'Ac2 Tm1 Te5'
_cell_length_a 6.2497
_cell_length_b 7.8256
_cell_length_c 8.7320
_cell_angle_alpha 116.52
_cell_angle_beta 110.95
_cell_angle_gamma 90.05
_symmetry_space_group_name_H-M 'P 1'
_symmetry_Int_Tables_number 1
loop_
_symmetry_equiv_pos_as_xyz
'x,y,z'
loop_
_atom_site_label
_atom_site_type_symbol
_atom_site_fract_x
_atom_site_fract_y
_atom_site_fract_z
Ac1 Ac 0.0000 0.0000 0.0000
Ac2 Ac 0.3354 0.3358 0.6707
Tm1 Tm 0.6680 0.0380 0.3357
Te1 Te 0.1673 0.8811 0.3361
Te2 Te 0.4219 0.3755 0.3348
Te3 Te 0.4557 0.8261 0.9118
Te4 Te 0.8796 0.2506 0.7595
Te5 Te 0.9134 0.3753 0.3349
# Total magnetization: 0.000 μB/atom
# Density: 5.979 g/cm³
# Total energy: -4.801 eV/atom
# Uncorrected formation energy: -1.251 eV per atom



[6]
# AcTm2Te, optimized geometry, DFT GGA-PBE
data_AcTm2Te
_chemical_formula_sum 'Ac3 Tm6 Te3'
_cell_length_a 3.9206
_cell_length_b 3.9206
_cell_length_c 30.4919
_cell_angle_alpha 90.00
_cell_angle_beta 90.00
_cell_angle_gamma 120.00
_symmetry_space_group_name_H-M 'R 3 m'
_symmetry_Int_Tables_number 160
_symmetry_space_group_name_Hall 'R 3 -2"'
loop_
_atom_site_label
_atom_site_type_symbol
_atom_site_fract_x
_atom_site_fract_y
_atom_site_fract_z
Ac1 Ac 0.0000 0.0000 0.0000
Tm1 Tm 0.0000 0.0000 0.2343
Tm2 Tm 0.0000 0.0000 0.4328
Te1 Te 0.0000 0.0000 0.8336
# Total magnetization: 0.000 μB/atom
# Density: 8.499 g/cm³
# Total energy: -4.531 eV/atom
# Uncorrected formation energy: -0.482 eV per atom



[7]
# Ac5TmTe8, optimized geometry, DFT GGA-PBE
data_Ac5TmTe8
_chemical_formula_sum 'Ac10 Tm2 Te16'
_cell_length_a 9.8316
_cell_length_b 9.8316
_cell_length_c 9.9611
_cell_angle_alpha 90.00
_cell_angle_beta 90.00
_cell_angle_gamma 90.00
_symmetry_space_group_name_H-M 'I -4'
_symmetry_Int_Tables_number 82
loop_
_symmetry_equiv_pos_as_xyz
'x,y,z'
'y,-x,-z'
'-x,-y,z'
'-y,x,-z'
'x+1/2,y+1/2,z+1/2'
'y+1/2,-x+1/2,-z+1/2'
'-x+1/2,-y+1/2,z+1/2'
'-y+1/2,x+1/2,-z+1/2'
loop_
_atom_site_label
_atom_site_type_symbol
_atom_site_fract_x
_atom_site_fract_y
_atom_site_fract_z
Ac1 Ac 0.0000 0.0000 0.0000
Ac2 Ac 0.1223 0.2511 0.3764
Tm1 Tm 0.0000 0.5000 0.7500
Te1 Te 0.0705 0.1890 0.7049
Te2 Te 0.0778 0.3278 0.0460
# Total magnetization: 0.000 μB/atom
# Density: 8.019 g/cm³
# Total energy: -5.075 eV/atom
# Uncorrected formation energy: -1.493 eV per atom



[8]
# AcTmTe2, optimized geometry, DFT GGA-PBE
data_AcTmTe2
_chemical_formula_sum 'Ac2 Tm2 Te4'
_cell_length_a 4.6115
_cell_length_b 10.1307
_cell_length_c 8.4891
_cell_angle_alpha 90.00
_cell_angle_beta 122.69
_cell_angle_gamma 90.00
_symmetry_space_group_name_H-M 'P 1 c 1'
_symmetry_Int_Tables_number 7
loop_
_symmetry_equiv_pos_as_xyz
'x,y,z'
'x,-y,z+1/2'
loop_
_atom_site_label
_atom_site_type_symbol
_atom_site_fract_x
_atom_site_fract_y
_atom_site_fract_z
Ac1 Ac 0.0000 0.0891 0.0000
Tm1 Tm 0.1591 0.3378 0.6563
Te1 Te 0.7955 0.1951 0.2977
Te2 Te 0.8945 0.4186 0.8927
# Total magnetization: 0.000 μB/atom
# Density: 6.479 g/cm³
# Total energy: -4.684 eV/atom
# Uncorrected formation energy: -0.968 eV per atom